Ti2CoRuW, relaxed, DFT PBE; DOS at the Fermi energy = 1.56 states/eV/atom; final energy = -8.3264 eV/atom
1.0
4.342 0.000 0.000
0.000 4.342 0.000
0.000 0.000 4.484
Ti Co Ru W
2 1 1 1
direct
0.000 0.500 0.000 Ti
0.500 0.000 0.000 Ti
0.000 0.000 0.000 Co
0.500 0.500 0.500 Ru
0.000 0.000 0.500 W